DFT (GGA-PBE) results for a geometry-optimized ScZnCuSi structure.

Unit cell a=4.4131 b=4.4131 c=4.4131 alpha=60.00 beta=60.00 gamma=60.00
Closest atoms and distances in Å follow each position.
Sites, in units of the cell vectors:
Zn (0.5000, 0.5000, 0.5000)  4 Sc 2.70, 4 Cu 2.70
Cu (0.2500, 0.2500, 0.2500)  4 Si 2.70, 4 Zn 2.70
Si (0.0000, 0.0000, 0.0000)  4 Sc 2.70, 4 Cu 2.70
Sc (0.7500, 0.7500, 0.7500)  4 Si 2.70, 4 Zn 2.70

Summary:
- energy relative to the lowest polymorph listed for this composition (meV per atom) = 0
- raw total energy (eV/atom) = -4.400

DFT (GGA-PBE) results for a geometry-optimized ScZnCuSi structure.

Unit cell a=4.4198 b=4.4198 c=4.4198 alpha=60.00 beta=60.00 gamma=60.00
Closest atoms and distances in Å follow each position.
Sites, in units of the cell vectors:
Si (0.2500, 0.2500, 0.2500)  4 Zn 2.71, 4 Sc 2.71
Zn (0.5000, 0.5000, 0.5000)  4 Cu 2.71, 4 Si 2.71
Sc (0.0000, 0.0000, 0.0000)  4 Cu 2.71, 4 Si 2.71
Cu (0.7500, 0.7500, 0.7500)  4 Zn 2.71, 4 Sc 2.71

Summary:
- energy relative to the lowest polymorph listed for this composition (meV per atom) = 10
- raw total energy (eV/atom) = -4.390

DFT (GGA-PBE) results for a geometry-optimized ScZnCuSi structure.

Unit cell a=4.4006 b=4.4006 c=4.4006 alpha=60.00 beta=60.00 gamma=60.00
Closest atoms and distances in Å follow each position.
Sites, in units of the cell vectors:
Zn (0.2500, 0.2500, 0.2500)  4 Sc 2.69, 4 Si 2.69
Sc (0.5000, 0.5000, 0.5000)  4 Zn 2.69, 4 Cu 2.69
Si (0.0000, 0.0000, 0.0000)  4 Zn 2.69, 4 Cu 2.69
Cu (0.7500, 0.7500, 0.7500)  4 Sc 2.69, 4 Si 2.69

Summary:
- energy relative to the lowest polymorph listed for this composition (meV per atom) = 47
- raw total energy (eV/atom) = -4.353

DFT (GGA-PBE) results for a geometry-optimized ScZnCu4Si2 structure.

Unit cell a=4.0956 b=4.0956 c=6.4478 alpha=90.00 beta=90.00 gamma=90.00
Closest atoms and distances in Å follow each position.
Sites, in units of the cell vectors:
Cu (0.5000, 0.0000, 0.7751)  2 Zn 2.51, 4 Si 2.51-2.71, 2 Sc 2.71
Cu (0.5000, 0.0000, 0.2249)  4 Si 2.51-2.71, 2 Zn 2.51, 2 Sc 2.71
Cu (0.0000, 0.5000, 0.7751)  2 Zn 2.51, 4 Si 2.51-2.71, 2 Sc 2.71
Cu (0.0000, 0.5000, 0.2249)  4 Si 2.51-2.71, 2 Zn 2.51, 2 Sc 2.71
Sc (0.0000, 0.0000, 0.5000)  8 Cu 2.71, 4 Si 2.90
Zn (0.5000, 0.5000, 0.0000)  8 Cu 2.51
Si (0.0000, 0.0000, 0.0000)  8 Cu 2.51
Si (0.5000, 0.5000, 0.5000)  8 Cu 2.71, 4 Sc 2.90

Summary:
- raw total energy (eV/atom) = -4.305

DFT (GGA-PBE) results for a geometry-optimized ZrScCuSi structure.

Unit cell a=4.5909 b=4.5909 c=4.5909 alpha=60.00 beta=60.00 gamma=60.00
Closest atoms and distances in Å follow each position.
Sites, in units of the cell vectors:
Sc (0.5000, 0.5000, 0.5000)  4 Cu 2.81, 4 Zr 2.81
Si (0.0000, 0.0000, 0.0000)  4 Zr 2.81, 4 Cu 2.81
Zr (0.2500, 0.2500, 0.2500)  4 Si 2.81, 4 Sc 2.81
Cu (0.7500, 0.7500, 0.7500)  4 Sc 2.81, 4 Si 2.81

Summary:
- energy relative to the lowest polymorph listed for this composition (meV per atom) = 0
- raw total energy (eV/atom) = -5.909

DFT (GGA-PBE) results for a geometry-optimized SmScCu structure.

Unit cell a=4.6593 b=4.6593 c=4.6593 alpha=60.00 beta=60.00 gamma=60.00
Closest atoms and distances in Å follow each position.
Sites, in units of the cell vectors:
Sm (0.0000, 0.0000, 0.0000)  4 Sc 2.85, 4 Cu 2.85
Cu (0.2500, 0.2500, 0.2500)  4 Sm 2.85
Sc (0.7500, 0.7500, 0.7500)  4 Sm 2.85

Summary:
- energy relative to the lowest polymorph listed for this composition (meV per atom) = 621
- calculated formation energy (eV per atom) = 0.714
- raw total energy (eV/atom) = -4.205

DFT (GGA-PBE) results for a geometry-optimized SmScCu structure.

Unit cell a=4.7293 b=4.7293 c=4.7293 alpha=60.00 beta=60.00 gamma=60.00
Closest atoms and distances in Å follow each position.
Sites, in units of the cell vectors:
Sc (0.2500, 0.2500, 0.2500)  4 Cu 2.90
Sm (0.7500, 0.7500, 0.7500)  4 Cu 2.90
Cu (0.0000, 0.0000, 0.0000)  4 Sm 2.90, 4 Sc 2.90

Summary:
- energy relative to the lowest polymorph listed for this composition (meV per atom) = 0
- calculated formation energy (eV per atom) = 0.093
- raw total energy (eV/atom) = -4.825

DFT (GGA-PBE) results for a geometry-optimized SmScCu2Sn2 structure.

Unit cell a=4.4951 b=4.4951 c=7.1513 alpha=90.00 beta=90.00 gamma=120.00
Closest atoms and distances in Å follow each position.
Sites, in units of the cell vectors:
Cu (0.3333, 0.6667, 0.0673)  4 Sn 2.67-2.74, 3 Sc 2.85
Cu (0.6667, 0.3333, 0.5319)  3 Sn 2.66, 3 Sm 2.97
Sn (0.3333, 0.6667, 0.4503)  4 Cu 2.66-2.74
Sn (0.6667, 0.3333, 0.9816)  3 Cu 2.67
Sc (0.0000, 0.0000, 0.2337)  3 Cu 2.85, 6 Sn 3.02-3.16
Sm (0.0000, 0.0000, 0.7351)  3 Cu 2.97, 6 Sn 3.14-3.30

Summary:
- raw total energy (eV/atom) = -4.984

What did the fourth record say?
DFT (GGA-PBE) results for a geometry-optimized ScZnCu4Si2 structure.

Unit cell a=4.0956 b=4.0956 c=6.4478 alpha=90.00 beta=90.00 gamma=90.00
Closest atoms and distances in Å follow each position.
Sites, in units of the cell vectors:
Cu (0.5000, 0.0000, 0.7751)  2 Zn 2.51, 4 Si 2.51-2.71, 2 Sc 2.71
Cu (0.5000, 0.0000, 0.2249)  4 Si 2.51-2.71, 2 Zn 2.51, 2 Sc 2.71
Cu (0.0000, 0.5000, 0.7751)  2 Zn 2.51, 4 Si 2.51-2.71, 2 Sc 2.71
Cu (0.0000, 0.5000, 0.2249)  4 Si 2.51-2.71, 2 Zn 2.51, 2 Sc 2.71
Sc (0.0000, 0.0000, 0.5000)  8 Cu 2.71, 4 Si 2.90
Zn (0.5000, 0.5000, 0.0000)  8 Cu 2.51
Si (0.0000, 0.0000, 0.0000)  8 Cu 2.51
Si (0.5000, 0.5000, 0.5000)  8 Cu 2.71, 4 Sc 2.90

Summary:
- raw total energy (eV/atom) = -4.305

Q: Which formula does entry 2 have?
A: ScZnCuSi

Q: Which value of raw total energy does entry 3 give?
A: -4.353 eV/atom

Q: What is the raw total energy in the seventh record?
A: -4.825 eV/atom